Below is crystalline Tl3BiAs at its relaxed geometry, with properties calculated at the PBE-GGA level.

## Properties
DFT total energy in eV for the cell shown: -30.86
Fermi-level density of states in states/eV/cell: 4.35
Relative energy among the computed polymorphs in meV per atom: 0
Formation enthalpy at 0 K in eV/atom: 0.039

```
Tl3BiAs
1.0
6.003 0.000 0.000
0.000 6.879 0.000
-1.692 0.000 7.474
Tl Bi As
6 2 2
direct
0.048 0.005 0.226
0.048 0.495 0.226
0.371 0.750 0.604
0.629 0.250 0.396
0.952 0.505 0.774
0.952 0.995 0.774
0.476 0.750 0.063
0.524 0.250 0.937
0.244 0.250 0.587
0.756 0.750 0.413
```

=====

Below is crystalline Tl3BiAs at its relaxed geometry, with properties calculated at the PBE-GGA level.

## Properties
DFT total energy in eV for the cell shown: -30.74
Fermi-level density of states in states/eV/cell: 3.69
Relative energy among the computed polymorphs in meV per atom: 13
Formation enthalpy at 0 K in eV/atom: 0.052

```
Tl3BiAs
1.0
5.789 -4.864 0.000
5.789 4.864 0.000
-5.787 0.000 5.805
Tl Bi As
6 2 2
direct
0.196 0.795 0.745
0.205 0.804 0.255
0.240 0.240 0.237
0.760 0.760 0.763
0.795 0.196 0.745
0.804 0.205 0.255
0.243 0.243 0.748
0.757 0.757 0.252
0.497 0.497 0.758
0.503 0.503 0.242
```

=====

Below is crystalline Tl6BiAs at its relaxed geometry, with properties calculated at the PBE-GGA level.

## Properties
DFT total energy in eV for the cell shown: -22.65
Fermi-level density of states in states/eV/cell: 3.08
Formation enthalpy at 0 K in eV/atom: 0.010

```
Tl6BiAs
1.0
4.721 0.000 0.000
0.000 4.607 5.789
0.000 -4.607 5.789
Tl Bi As
6 1 1
direct
0.000 0.000 0.000
0.000 0.089 0.473
0.000 0.473 0.089
0.500 0.273 0.742
0.500 0.742 0.273
0.500 0.773 0.773
0.000 0.571 0.571
0.500 0.180 0.180
```

=====

Below is crystalline Tl2BiAs at its relaxed geometry, with properties calculated at the PBE-GGA level.

## Properties
DFT total energy in eV for the cell shown: -26.44
Fermi-level density of states in states/eV/cell: 3.15
Relative energy among the computed polymorphs in meV per atom: 0
Formation enthalpy at 0 K in eV/atom: 0.011

```
Tl2BiAs
1.0
3.983 0.000 0.000
0.000 9.480 0.000
-1.935 0.000 6.577
Tl Bi As
4 2 2
direct
0.129 0.056 0.256
0.129 0.444 0.256
0.871 0.556 0.744
0.871 0.944 0.744
0.421 0.250 0.848
0.579 0.750 0.152
0.227 0.750 0.457
0.773 0.250 0.543
```

=====

Below is crystalline Tl4BiAs2 at its relaxed geometry, with properties calculated at the PBE-GGA level.

## Properties
DFT total energy in eV for the cell shown: -22.52
Fermi-level density of states in states/eV/cell: 2.55
Formation enthalpy at 0 K in eV/atom: 0.018

```
Tl4BiAs2
1.0
6.120 0.000 0.000
1.682 5.889 0.000
0.669 2.959 5.952
Tl Bi As
4 1 2
direct
0.008 0.406 0.292
0.423 0.845 0.308
0.577 0.155 0.692
0.992 0.594 0.708
0.500 0.500 0.000
0.111 0.995 0.841
0.889 0.005 0.159
```

=====

Below is crystalline Tl12Bi3As at its relaxed geometry, with properties calculated at the PBE-GGA level.

## Properties
DFT total energy in eV for the cell shown: -44.65
Fermi-level density of states in states/eV/cell: 7.18
Formation enthalpy at 0 K in eV/atom: 0.002

```
Tl12Bi3As
1.0
4.943 0.000 0.000
0.000 4.943 0.000
0.000 0.000 20.172
Tl Bi As
12 3 1
direct
0.000 0.000 0.000
0.000 0.000 0.243
0.000 0.000 0.500
0.000 0.000 0.757
0.000 0.500 0.115
0.000 0.500 0.372
0.000 0.500 0.628
0.000 0.500 0.885
0.500 0.000 0.115
0.500 0.000 0.372
0.500 0.000 0.628
0.500 0.000 0.885
0.500 0.500 0.248
0.500 0.500 0.500
0.500 0.500 0.752
0.500 0.500 0.000
```

=====

Below is crystalline Tl2Bi2As at its relaxed geometry, with properties calculated at the PBE-GGA level.

## Properties
DFT total energy in eV for the cell shown: -33.10
Fermi-level density of states in states/eV/cell: 7.17
Relative energy among the computed polymorphs in meV per atom: 0
Formation enthalpy at 0 K in eV/atom: 0.119

```
Tl2Bi2As
1.0
7.757 0.000 0.000
0.000 7.757 0.000
0.000 0.000 5.451
Tl Bi As
4 4 2
direct
0.175 0.325 0.000
0.325 0.825 0.000
0.675 0.175 0.000
0.825 0.675 0.000
0.143 0.643 0.500
0.357 0.143 0.500
0.643 0.857 0.500
0.857 0.357 0.500
0.000 0.000 0.500
0.500 0.500 0.500
```

=====

Below is crystalline TlBi2As at its relaxed geometry, with properties calculated at the PBE-GGA level.

## Properties
DFT total energy in eV for the cell shown: -14.41
Fermi-level density of states in states/eV/cell: 2.62
Relative energy among the computed polymorphs in meV per atom: 0
Formation enthalpy at 0 K in eV/atom: 0.091

```
TlBi2As
1.0
1.964 1.134 9.292
-1.964 1.134 9.292
0.000 -2.268 9.292
Tl Bi As
1 2 1
direct
0.000 0.000 0.000
0.565 0.565 0.565
0.762 0.762 0.762
0.165 0.165 0.165
```

=====

Below is crystalline TlBi2As2 at its relaxed geometry, with properties calculated at the PBE-GGA level.

## Properties
DFT total energy in eV for the cell shown: -18.96
Fermi-level density of states in states/eV/cell: 1.41
Relative energy among the computed polymorphs in meV per atom: 0
Formation enthalpy at 0 K in eV/atom: 0.094

```
TlBi2As2
1.0
-2.727 2.727 5.405
2.727 -2.727 5.405
2.727 2.727 -5.405
Tl Bi As
1 2 2
direct
0.000 0.000 0.000
0.349 0.349 0.000
0.651 0.651 0.000
0.250 0.750 0.500
0.750 0.250 0.500
```

=====

Below is crystalline Tl3BiAs at its relaxed geometry, with properties calculated at the PBE-GGA level.

## Properties
DFT total energy in eV for the cell shown: -12.26
Fermi-level density of states in states/eV/cell: 5.68
Relative energy among the computed polymorphs in meV per atom: 634
Formation enthalpy at 0 K in eV/atom: 0.674

```
Tl3BiAs
1.0
5.966 0.000 0.000
0.000 5.966 0.000
0.000 0.000 5.966
Tl Bi As
3 1 1
direct
0.000 0.000 0.500
0.000 0.500 0.000
0.500 0.000 0.000
0.000 0.000 0.000
0.500 0.500 0.500
```

=====

Below is crystalline TlBi2As at its relaxed geometry, with properties calculated at the PBE-GGA level.

## Properties
DFT total energy in eV for the cell shown: -27.44
Fermi-level density of states in states/eV/cell: 9.39
Relative energy among the computed polymorphs in meV per atom: 174
Formation enthalpy at 0 K in eV/atom: 0.264

```
TlBi2As
1.0
-3.346 3.346 7.259
3.346 -3.346 7.259
3.346 3.346 -7.259
Tl Bi As
2 4 2
direct
0.000 0.000 0.000
0.750 0.250 0.500
0.154 0.625 0.029
0.375 0.404 0.529
0.596 0.125 0.971
0.875 0.846 0.471
0.250 0.750 0.500
0.500 0.500 0.000
```

=====

Below is crystalline Tl2BiAs at its relaxed geometry, with properties calculated at the PBE-GGA level.

## Properties
DFT total energy in eV for the cell shown: -12.53
Fermi-level density of states in states/eV/cell: 2.53
Relative energy among the computed polymorphs in meV per atom: 172
Formation enthalpy at 0 K in eV/atom: 0.183

```
Tl2BiAs
1.0
2.091 1.207 7.787
-2.091 1.207 7.787
0.000 -2.415 7.787
Tl Bi As
2 1 1
direct
0.237 0.237 0.237
0.763 0.763 0.763
0.000 0.000 0.000
0.500 0.500 0.500
```